VASP calculation (PBE) on a geometry-optimized Pm2C2O6F structure.

CIF file:
```
data_Pm2C2O6F
_symmetry_space_group_name_H-M 'P 1'
_symmetry_Int_Tables_number 1
_cell_length_a 5.625
_cell_length_b 5.266
_cell_length_c 6.297
_cell_angle_alpha 119.08
_cell_angle_beta 99.66
_cell_angle_gamma 73.72
loop_
_symmetry_equiv_pos_as_xyz
'x,y,z'
loop_
_atom_site_label
_atom_site_type_symbol
_atom_site_fract_x
_atom_site_fract_y
_atom_site_fract_z
O1 O 0.016 0.332 0.133
O2 O 0.916 0.182 0.384
O3 O 0.984 0.668 0.867
O4 O 0.380 0.650 0.845
O5 O 0.620 0.350 0.155
O6 O 0.084 0.818 0.616
F1 F 0.500 0.000 0.500
C1 C 0.151 0.708 0.769
C2 C 0.849 0.292 0.231
Pm1 Pm 0.760 0.293 0.763
Pm2 Pm 0.240 0.707 0.237
```

Properties
Formation energy from raw total energies: -25.3 eV/f.u.
SG: P-1 (2)